# Lu2CdSn, optimized geometry, DFT GGA-PBE
# calculated density = 9.299 Mg/m³
# raw total energy = -3.496 eV/atom
data_Lu2CdSn
_chemical_formula_sum 'Lu8 Cd4 Sn4'
_symmetry_space_group_name_H-M 'F -4 3 m'
_symmetry_Int_Tables_number 216
_symmetry_space_group_name_Hall 'F -4 2 3'
_cell_length_a 7.459
_cell_length_b 7.459
_cell_length_c 7.459
_cell_angle_alpha 90.00
_cell_angle_beta 90.00
_cell_angle_gamma 90.00
loop_
_atom_site_label
_atom_site_type_symbol
_atom_site_fract_x
_atom_site_fract_y
_atom_site_fract_z
_atom_site_occupancy
Lu1 Lu 0.000 0.000 0.000 1
Lu2 Lu 0.250 0.250 0.250 1
Cd1 Cd 0.250 0.250 0.750 1
Sn1 Sn 0.000 0.000 0.500 1

=====

# HfMoAs2, optimized geometry, DFT GGA-PBE
# calculated density = 9.439 Mg/m³
# raw total energy = -7.962 eV/atom
data_HfMoAs2
_chemical_formula_sum 'Hf2 Mo2 As4'
_symmetry_space_group_name_H-M 'P -6 m 2'
_symmetry_Int_Tables_number 187
_symmetry_space_group_name_Hall 'P -6 2'
_cell_length_a 3.8694
_cell_length_b 3.8694
_cell_length_c 11.5131
_cell_angle_alpha 90.00
_cell_angle_beta 90.00
_cell_angle_gamma 120.00
loop_
_atom_site_label
_atom_site_type_symbol
_atom_site_fract_x
_atom_site_fract_y
_atom_site_fract_z
_atom_site_occupancy
Hf1 Hf 0.0000 0.0000 0.1461 1
Mo1 Mo 0.6667 0.3333 0.3725 1
As1 As 0.0000 0.0000 0.5000 1
As2 As 0.3333 0.6667 0.2693 1
As3 As 0.6667 0.3333 0.0000 1

=====

# TaTlNiMo, optimized geometry, DFT GGA-PBE
# calculated density = 13.325 Mg/m³
# raw total energy = -7.231 eV/atom
data_TaTlNiMo
_chemical_formula_sum 'Ta4 Tl4 Ni4 Mo4'
_symmetry_space_group_name_H-M 'F -4 3 m'
_symmetry_Int_Tables_number 216
_symmetry_space_group_name_Hall 'F -4 2 3'
_cell_length_a 6.457
_cell_length_b 6.457
_cell_length_c 6.457
_cell_angle_alpha 90.00
_cell_angle_beta 90.00
_cell_angle_gamma 90.00
loop_
_atom_site_label
_atom_site_type_symbol
_atom_site_fract_x
_atom_site_fract_y
_atom_site_fract_z
_atom_site_occupancy
Ta1 Ta 0.000 0.000 0.000 1
Tl1 Tl 0.000 0.000 0.500 1
Ni1 Ni 0.250 0.250 0.750 1
Mo1 Mo 0.250 0.250 0.250 1

=====

# Sm2Ho2CCl5, optimized geometry, DFT GGA-PBE
# calculated density = 5.629 Mg/m³
# raw total energy = -5.401 eV/atom
data_Sm2Ho2CCl5
_chemical_formula_sum 'Sm4 Ho4 C2 Cl10'
_symmetry_space_group_name_H-M 'C 1 2/m 1'
_symmetry_Int_Tables_number 12
_symmetry_space_group_name_Hall '-C 2y'
_cell_length_a 17.212
_cell_length_b 3.725
_cell_length_c 7.792
_cell_angle_alpha 90.00
_cell_angle_beta 104.47
_cell_angle_gamma 90.00
loop_
_atom_site_label
_atom_site_type_symbol
_atom_site_fract_x
_atom_site_fract_y
_atom_site_fract_z
_atom_site_occupancy
Sm1 Sm 0.148 0.000 0.086 1
Ho1 Ho 0.001 0.500 0.790 1
C1 C 0.000 0.000 0.000 1
Cl1 Cl 0.000 0.000 0.500 1
Cl2 Cl 0.160 0.500 0.355 1
Cl3 Cl 0.167 0.500 0.826 1